# 1
This record from Alexandria describes a crystal of AlReW2 relaxed with PBEsol. The functional is meta-GGA SCAN.

Calculated values
Formation energy, kJ per mole of atoms: -14.25
N(E_F), states/eV/cell: 4.893
Calculated volume, Å³ per atom: 14.931
M_tot, μB/atom: 0.0000
Uncorrected energy, hartree per atom: -2.010

a = 3.1227 Å, b = 4.3188 Å, c = 8.8569 Å
α = 90.00°, β = 90.00°, γ = 90.00°
Space group Immm (No. 71)
Symmetry-distinct sites (fractional):
1 Al 0.0000 0.0000 0.0000
2 Re 0.0000 0.0000 0.5000
3 W 0.0000 0.5000 0.2431

# 2
This record from Alexandria describes a crystal of AlReW2 relaxed with PBEsol. The functional is meta-GGA SCAN.

Calculated values
Formation energy, kJ per mole of atoms: 9.21
N(E_F), states/eV/cell: 5.280
Calculated volume, Å³ per atom: 15.023
M_tot, μB/atom: 0.0000
Uncorrected energy, hartree per atom: -2.001

a = 3.7834 Å, b = 3.7834 Å, c = 8.3961 Å
α = 90.00°, β = 90.00°, γ = 90.00°
Space group I4/mmm (No. 139)
Symmetry-distinct sites (fractional):
1 Al 0.0000 0.0000 0.0000
2 Re 0.0000 0.0000 0.5000
3 W 0.0000 0.5000 0.2500

# 3
This record from Alexandria describes a crystal of YAl3Re relaxed with PBEsol. The functional is meta-GGA SCAN.

Calculated values
Formation energy, kJ per mole of atoms: -16.36
N(E_F), states/eV/cell: 1.526
Calculated volume, Å³ per atom: 20.948
M_tot, μB/atom: 0.0000
Uncorrected energy, hartree per atom: -0.904

a = 4.7138 Å, b = 4.7138 Å, c = 4.7138 Å
α = 90.00°, β = 90.00°, γ = 90.00°
Space group Pm-3m (No. 221)
Symmetry-distinct sites (fractional):
1 Y 0.0000 0.0000 0.0000
2 Al 0.0000 0.5000 0.5000
3 Re 0.5000 0.5000 0.5000

# 4
This record from Alexandria describes a crystal of YAlRe2 relaxed with PBEsol. The functional is meta-GGA SCAN.

Calculated values
Formation energy, kJ per mole of atoms: 17.29
N(E_F), states/eV/cell: 5.219
Calculated volume, Å³ per atom: 16.366
M_tot, μB/atom: 0.0000
Uncorrected energy, hartree per atom: -1.627

a = 3.2542 Å, b = 4.5347 Å, c = 8.8723 Å
α = 90.00°, β = 90.00°, γ = 90.00°
Space group Cmmm (No. 65)
Symmetry-distinct sites (fractional):
1 Y 0.0000 0.0000 0.0000
2 Al 0.0000 0.0000 0.5000
3 Re 0.0000 0.5000 0.2746

# 5
This record from Alexandria describes a crystal of YAl10Re2 relaxed with PBEsol. The functional is meta-GGA SCAN.

Calculated values
Formation energy, kJ per mole of atoms: -39.76
N(E_F), states/eV/cell: 48.921
Calculated volume, Å³ per atom: 16.301
M_tot, μB/atom: 0.0000
Uncorrected energy, hartree per atom: -0.715

a = 9.2297 Å, b = 10.2769 Å, c = 26.8094 Å
α = 90.00°, β = 90.00°, γ = 90.00°
Space group Cmcm (No. 63)
Symmetry-distinct sites (fractional):
1 Y 0.0000 0.1186 0.2500
2 Y 0.0000 0.3749 0.0846
3 Al 0.0000 0.0950 0.1332
4 Al 0.0000 0.1222 0.0220
5 Al 0.0000 0.1298 0.6787
6 Al 0.0000 0.3348 0.5339
7 Al 0.0000 0.3749 0.6455
8 Al 0.0000 0.4084 0.1998
9 Al 0.1496 0.3862 0.7500
10 Al 0.1509 0.1222 0.5810
11 Al 0.2069 0.5000 0.0000
12 Al 0.2130 0.1109 0.7500
13 Al 0.2202 0.2477 0.1708
14 Al 0.2485 0.1281 0.0830
15 Re 0.2479 0.0027 0.6633
16 Re 0.2500 0.2500 0.0000

# 6
This record from Alexandria describes a crystal of YAl2Re relaxed with PBEsol. The functional is meta-GGA SCAN.

Calculated values
Formation energy, kJ per mole of atoms: 36.16
N(E_F), states/eV/cell: 6.462
Calculated volume, Å³ per atom: 19.807
M_tot, μB/atom: 0.0000
Uncorrected energy, hartree per atom: -1.038

a = 4.0767 Å, b = 4.0767 Å, c = 19.0692 Å
α = 90.00°, β = 90.00°, γ = 90.00°
Space group I-42d (No. 122)
Symmetry-distinct sites (fractional):
1 Y 0.0000 0.0000 0.0000
2 Al 0.1938 0.2500 0.6250
3 Re 0.0000 0.0000 0.5000

# 7
This record from Alexandria describes a crystal of YAlRe2 relaxed with PBEsol. The functional is meta-GGA SCAN.

Calculated values
Formation energy, kJ per mole of atoms: 37.10
N(E_F), states/eV/cell: 13.596
Calculated volume, Å³ per atom: 16.539
M_tot, μB/atom: 0.0000
Uncorrected energy, hartree per atom: -1.619

a = 2.8271 Å, b = 2.8271 Å, c = 28.6732 Å
α = 90.00°, β = 90.00°, γ = 120.00°
Space group R-3m (No. 166, hexagonal axes)
Symmetry-distinct sites (fractional):
1 Y 0.0000 0.0000 0.0000
2 Al 0.0000 0.0000 0.5000
3 Re 0.0000 0.0000 0.2408

# 8
This record from Alexandria describes a crystal of YAlRe2 relaxed with PBEsol. The functional is meta-GGA SCAN.

Calculated values
Formation energy, kJ per mole of atoms: 23.68
N(E_F), states/eV/cell: 8.985
Calculated volume, Å³ per atom: 17.172
M_tot, μB/atom: 0.0000
Uncorrected energy, hartree per atom: -1.624

a = 2.8781 Å, b = 2.8781 Å, c = 28.7242 Å
α = 90.00°, β = 90.00°, γ = 120.00°
Space group R3m (No. 160, hexagonal axes)
Symmetry-distinct sites (fractional):
1 Y 0.0000 0.0000 0.0000
2 Al 0.0000 0.0000 0.7622
3 Re 0.0000 0.0000 0.2409
4 Re 0.0000 0.0000 0.5033

# 9
This record from Alexandria describes a crystal of AlZnRe2 relaxed with PBEsol. The functional is meta-GGA SCAN.

Calculated values
Formation energy, kJ per mole of atoms: 17.65
N(E_F), states/eV/cell: 3.368
E above lowest polymorph, meV/atom: 369
Calculated volume, Å³ per atom: 14.253
M_tot, μB/atom: 0.0000
Uncorrected energy, hartree per atom: -1.495

a = 2.6433 Å, b = 2.6433 Å, c = 8.1596 Å
α = 90.00°, β = 90.00°, γ = 90.00°
Space group P4/mmm (No. 123)
Symmetry-distinct sites (fractional):
1 Al 0.0000 0.0000 0.0000
2 Zn 0.0000 0.0000 0.5000
3 Re 0.5000 0.5000 0.2480

# 10
This record from Alexandria describes a crystal of Al2ZnRe relaxed with PBEsol. The functional is meta-GGA SCAN.

Calculated values
Formation energy, kJ per mole of atoms: -23.72
N(E_F), states/eV/cell: 2.096
Calculated volume, Å³ per atom: 14.345
M_tot, μB/atom: 0.0001
Uncorrected energy, hartree per atom: -0.929

a = 3.2467 Å, b = 3.2467 Å, c = 5.4433 Å
α = 90.00°, β = 90.00°, γ = 90.00°
Space group P4/mmm (No. 123)
Symmetry-distinct sites (fractional):
1 Al 0.0000 0.0000 0.2388
2 Zn 0.5000 0.5000 0.5000
3 Re 0.5000 0.5000 0.0000

# 11
This record from Alexandria describes a crystal of AlZnRe2 relaxed with PBEsol. The functional is meta-GGA SCAN.

Calculated values
Formation energy, kJ per mole of atoms: -17.95
N(E_F), states/eV/cell: 1.530
E above lowest polymorph, meV/atom: 0
Calculated volume, Å³ per atom: 14.043
M_tot, μB/atom: 0.0000
Uncorrected energy, hartree per atom: -1.509

a = 3.0233 Å, b = 3.0233 Å, c = 6.1455 Å
α = 90.00°, β = 90.00°, γ = 90.00°
Space group P4mm (No. 99)
Symmetry-distinct sites (fractional):
1 Al 0.0000 0.0000 0.0000
2 Zn 0.5000 0.5000 0.7596
3 Re 0.0000 0.0000 0.4993
4 Re 0.5000 0.5000 0.2544

# 12
This record from Alexandria describes a crystal of AlZnRe2 relaxed with PBEsol. The functional is meta-GGA SCAN.

Calculated values
Formation energy, kJ per mole of atoms: 2.61
N(E_F), states/eV/cell: 3.564
E above lowest polymorph, meV/atom: 213
Calculated volume, Å³ per atom: 14.209
M_tot, μB/atom: 0.0000
Uncorrected energy, hartree per atom: -1.501

a = 3.0764 Å, b = 4.3326 Å, c = 8.5281 Å
α = 90.00°, β = 90.00°, γ = 90.00°
Space group Immm (No. 71)
Symmetry-distinct sites (fractional):
1 Al 0.0000 0.0000 0.0000
2 Zn 0.0000 0.0000 0.5000
3 Re 0.0000 0.5000 0.2506

# 13
This record from Alexandria describes a crystal of Al2ZnRe relaxed with PBEsol. The functional is meta-GGA SCAN.

Calculated values
Formation energy, kJ per mole of atoms: -6.35
N(E_F), states/eV/cell: 1.595
Calculated volume, Å³ per atom: 14.423
M_tot, μB/atom: 0.0000
Uncorrected energy, hartree per atom: -0.922

a = 2.7745 Å, b = 3.9457 Å, c = 5.2700 Å
α = 90.00°, β = 90.00°, γ = 90.00°
Space group Pmm2 (No. 25)
Symmetry-distinct sites (fractional):
1 Al 0.0000 0.0000 0.0000
2 Al 0.5000 0.5000 0.2826
3 Zn 0.5000 0.5000 0.7676
4 Re 0.0000 0.0000 0.4991

# 14
This record from Alexandria describes a crystal of Al2ZnRe relaxed with PBEsol. The functional is meta-GGA SCAN.

Calculated values
Formation energy, kJ per mole of atoms: -24.77
N(E_F), states/eV/cell: 1.456
Calculated volume, Å³ per atom: 13.985
M_tot, μB/atom: 0.0000
Uncorrected energy, hartree per atom: -0.929

a = 3.3623 Å, b = 3.9989 Å, c = 8.3209 Å
α = 90.00°, β = 90.00°, γ = 90.00°
Space group Imm2 (No. 44)
Symmetry-distinct sites (fractional):
1 Al 0.0000 0.0000 0.0000
2 Al 0.0000 0.5000 0.2407
3 Zn 0.0000 0.0000 0.4980
4 Re 0.0000 0.5000 0.7486

# 15
This record from Alexandria describes a crystal of ZrAl2Re relaxed with PBEsol. The functional is meta-GGA SCAN.

Calculated values
Formation energy, kJ per mole of atoms: -6.28
N(E_F), states/eV/cell: 11.041
Calculated volume, Å³ per atom: 16.588
M_tot, μB/atom: 0.0000
Uncorrected energy, hartree per atom: -1.080

a = 2.8866 Å, b = 2.8866 Å, c = 27.5847 Å
α = 90.00°, β = 90.00°, γ = 120.00°
Space group R-3m (No. 166, hexagonal axes)
Symmetry-distinct sites (fractional):
1 Zr 0.0000 0.0000 0.0000
2 Al 0.0000 0.0000 0.2419
3 Re 0.0000 0.0000 0.5000

# 16
This record from Alexandria describes a crystal of Zr2AlRe relaxed with PBEsol. The functional is meta-GGA SCAN.

Calculated values
Formation energy, kJ per mole of atoms: -44.31
N(E_F), states/eV/cell: 0.867
Calculated volume, Å³ per atom: 17.976
M_tot, μB/atom: 0.0000
Uncorrected energy, hartree per atom: -1.305

a = 4.5820 Å, b = 4.5820 Å, c = 3.4249 Å
α = 90.00°, β = 90.00°, γ = 90.00°
Space group P4/mmm (No. 123)
Symmetry-distinct sites (fractional):
1 Zr 0.0000 0.5000 0.0000
2 Al 0.0000 0.0000 0.5000
3 Re 0.5000 0.5000 0.5000

# 17
This record from Alexandria describes a crystal of Al3Rh relaxed with PBEsol. The functional is meta-GGA SCAN.

Calculated values
Formation energy, kJ per mole of atoms: -71.26
N(E_F), states/eV/cell: 1.329
Calculated volume, Å³ per atom: 14.405
M_tot, μB/atom: 0.0001
Uncorrected energy, hartree per atom: -0.551

a = 4.8663 Å, b = 4.8663 Å, c = 4.8663 Å
α = 90.00°, β = 90.00°, γ = 90.00°
Space group Pm-3n (No. 223)
Symmetry-distinct sites (fractional):
1 Al 0.0000 0.2500 0.5000
2 Rh 0.0000 0.0000 0.0000

# 18
This record from Alexandria describes a crystal of Al5Rh3 relaxed with PBEsol. The functional is meta-GGA SCAN.

Calculated values
Formation energy, kJ per mole of atoms: -93.56
N(E_F), states/eV/cell: 4.820
Calculated volume, Å³ per atom: 13.791
M_tot, μB/atom: 0.0000
Uncorrected energy, hartree per atom: -0.679

a = 7.3446 Å, b = 7.4263 Å, c = 4.0455 Å
α = 90.00°, β = 90.00°, γ = 90.00°
Space group Cmmm (No. 65)
Symmetry-distinct sites (fractional):
1 Al 0.0000 0.0000 0.0000
2 Al 0.0000 0.2939 0.5000
3 Al 0.2500 0.2500 0.0000
4 Rh 0.0000 0.5000 0.0000
5 Rh 0.2014 0.0000 0.5000

# 19
This record from Alexandria describes a crystal of Al3Rh4 relaxed with PBEsol. The functional is meta-GGA SCAN.

Calculated values
Formation energy, kJ per mole of atoms: -29.39
N(E_F), states/eV/cell: 4.617
Calculated volume, Å³ per atom: 14.058
M_tot, μB/atom: 0.2770
Uncorrected energy, hartree per atom: -0.842

a = 4.9569 Å, b = 4.9569 Å, c = 4.6246 Å
α = 90.00°, β = 90.00°, γ = 120.00°
Space group P6/mmm (No. 191)
Symmetry-distinct sites (fractional):
1 Al 0.0000 0.5000 0.0000
2 Rh 0.0000 0.0000 0.2545
3 Rh 0.3333 0.6667 0.5000

# 20
This record from Alexandria describes a crystal of AlRh4 relaxed with PBEsol. The functional is meta-GGA SCAN.

Calculated values
Formation energy, kJ per mole of atoms: -44.64
N(E_F), states/eV/cell: 9.464
Calculated volume, Å³ per atom: 13.467
M_tot, μB/atom: 0.0002
Uncorrected energy, hartree per atom: -1.067

a = 5.9528 Å, b = 5.9528 Å, c = 3.8004 Å
α = 90.00°, β = 90.00°, γ = 90.00°
Space group I4/m (No. 87)
Symmetry-distinct sites (fractional):
1 Al 0.0000 0.0000 0.0000
2 Rh 0.1024 0.3024 0.5000